Pm2AlGa5 PBE-GGA relaxed; space group = Cm, No. 8; DFT formation energy = -0.50 eV per atom; calculated total energy = -4.048 eV/atom; total magnetization = 0.000 μB/cell
1.0
4.296 -4.375 0.000
4.296 4.375 0.000
-4.284 0.000 4.375
Pm Al Ga
2 1 5
Cartesian
4.296 2.187 0.000
4.296 -2.187 0.000
0.082 0.000 2.187
-2.136 0.000 4.324
2.153 2.241 2.187
4.219 0.000 2.189
2.153 -2.241 2.187
6.444 0.000 0.050